Compound: La7PrHo3
Source: Alexandria
Functional: PBE
Structure: optimized geometry

CIF file:
```
data_La7PrHo3
_cell_length_a 11.871
_cell_length_b 10.343
_cell_length_c 6.511
_cell_angle_alpha 90.00
_cell_angle_beta 96.29
_cell_angle_gamma 90.00
_symmetry_space_group_name_H-M 'C 1 2/m 1'
_symmetry_Int_Tables_number 12
_symmetry_space_group_name_Hall '-C 2y'
loop_
_atom_site_label
_atom_site_fract_x
_atom_site_fract_y
_atom_site_fract_z
La1 0.000 0.000 0.000
La2 0.235 0.500 0.212
La3 0.245 0.320 0.736
Pr1 0.000 0.000 0.500
Ho1 0.000 0.333 0.000
Ho2 0.000 0.500 0.500
```

# LaPr2Ho7 (PBE, optimized geometry)
data_LaPr2Ho7
_cell_length_a 8.606
_cell_length_b 16.973
_cell_length_c 5.404
_cell_angle_alpha 90.00
_cell_angle_beta 90.00
_cell_angle_gamma 90.00
_symmetry_space_group_name_H-M 'C m m m'
_symmetry_Int_Tables_number 65
_symmetry_space_group_name_Hall '-C 2 2'
loop_
_atom_site_label
_atom_site_fract_x
_atom_site_fract_y
_atom_site_fract_z
La1 0.000 0.000 0.000
Pr1 0.000 0.298 0.500
Ho1 0.000 0.207 0.000
Ho2 0.000 0.500 0.500
Ho3 0.178 0.111 0.500
# relative energy among the computed polymorphs = 0.653 eV per atom

no.,density of states at the Fermi level (states/eV per cell),formation enthalpy at 0 K (eV per atom)
1,33.1,0.2105
2,30.0,0.6750